(1)
First-principles (PBE with a Hubbard U) data for a relaxed structure of Na2TiMnF8, as listed in Alexandria.

Properties
volume: 14.3 Å³ per atom
total magnetization: 0.4167 μB per atom
theoretical density: 2.9 g cm⁻³
energy: -5.779 eV per atom

Cell lengths 6.962, 7.310, 6.722 Å; angles 90.00, 90.00, 90.00 degrees
Space group Cmmm (No. 65)
Inequivalent atoms, fractional coordinates:
Na1 0.000 0.000 0.246 [4 per cell]
Ti1 0.000 0.500 0.500 [2 per cell]
Mn1 0.000 0.500 0.000 [2 per cell]
F1 0.000 0.324 0.290 [8 per cell]
F2 0.217 0.000 0.000 [4 per cell]
F3 0.230 0.000 0.500 [4 per cell]

=====

(2)
First-principles (PBE with a Hubbard U) data for a relaxed structure of NaMn2TlF8, as listed in Alexandria.

Properties
volume: 15.4 Å³ per atom
total magnetization: 0.6667 μB per atom
theoretical density: 4.4 g cm⁻³
energy: -5.027 eV per atom

Cell lengths 5.5960, 5.5960, 6.8200 Å; angles 90.00, 90.00, 120.00 degrees
Space group P-3 (No. 147)
Inequivalent atoms, fractional coordinates:
Na1 0.0000 0.0000 0.0000 [1 per cell]
Mn1 0.3333 0.6667 0.0982 [2 per cell]
Tl1 0.0000 0.0000 0.5000 [1 per cell]
F1 0.0474 0.6682 0.8651 [6 per cell]
F2 0.3333 0.6667 0.3642 [2 per cell]

=====

(3)
First-principles (PBE with a Hubbard U) data for a relaxed structure of Na2MnTlF6, as listed in Alexandria.

Properties
volume: 17.8 Å³ per atom
total magnetization: 0.3990 μB per atom
theoretical density: 3.9 g cm⁻³
energy: -4.648 eV per atom

Cell lengths 8.923, 8.923, 8.923 Å; angles 90.00, 90.00, 90.00 degrees
Space group Fm-3m (No. 225)
Inequivalent atoms, fractional coordinates:
Na1 0.250 0.250 0.250 [8 per cell]
Mn1 0.000 0.000 0.000 [4 per cell]
Tl1 0.000 0.000 0.500 [4 per cell]
F1 0.000 0.000 0.225 [24 per cell]